# 1
{"formula": "MoRhAu2", "functional": "PBE", "state": "relaxed", "e_form_kj_per_mol_atoms": 32.2, "e_above_lowest_polymorph_mev_per_atom": 329, "cell": [[4.127, 0.000, 0.000], [0.000, 4.014, 0.000], [0.000, 0.000, 4.014]], "species": ["Au", "Au", "Mo", "Rh"], "fractional_positions": [[0.000, 0.000, 0.000], [0.000, 0.500, 0.500], [0.500, 0.500, 0.000], [0.500, 0.000, 0.500]]}

=====

# 2
{"formula": "Mo2RhAu2", "functional": "PBE", "state": "relaxed", "e_form_kj_per_mol_atoms": 57.9, "e_above_lowest_polymorph_mev_per_atom": 0, "cell": [[3.757, 0.000, 0.000], [0.000, 3.757, 0.000], [1.879, 1.879, 6.493]], "species": ["Rh", "Mo", "Mo", "Au", "Au"], "fractional_positions": [[0.000, 0.000, 0.000], [0.416, 0.416, 0.168], [0.584, 0.584, 0.832], [0.750, 0.250, 0.500], [0.250, 0.750, 0.500]]}

=====

# 3
{"formula": "MoRh2Au", "functional": "PBE", "state": "relaxed", "e_form_kj_per_mol_atoms": 7.9, "e_above_lowest_polymorph_mev_per_atom": 165, "cell": [[-0.185, -3.936, 0.776], [3.244, 0.310, 2.349], [-2.243, 0.698, 3.006]], "species": ["Au", "Mo", "Rh", "Rh"], "fractional_positions": [[0.500, 0.000, 0.500], [0.000, 0.500, 0.500], [0.000, 0.000, 0.000], [0.500, 0.500, 0.000]]}

=====

# 4
{"formula": "Mo4RhAu", "functional": "PBE", "state": "relaxed", "e_form_kj_per_mol_atoms": 29.6, "cell": [[-0.445, 1.072, 5.058], [-4.668, 0.985, 2.043], [-2.212, -3.438, 3.197]], "species": ["Mo", "Mo", "Mo", "Mo", "Rh", "Au"], "fractional_positions": [[0.876, 0.375, 0.375], [0.375, 0.375, 0.876], [0.375, 0.876, 0.375], [0.375, 0.375, 0.375], [0.750, 0.750, 0.750], [0.000, 0.000, 0.000]]}

=====

# 5
{"formula": "MoRhAu", "functional": "PBE", "state": "relaxed", "e_form_kj_per_mol_atoms": -0.6, "e_above_lowest_polymorph_mev_per_atom": 23, "cell": [[-3.478, 0.799, 3.321], [-2.822, -3.658, 1.555], [4.551, 1.679, -0.482]], "species": ["Au", "Mo", "Rh"], "fractional_positions": [[0.001, 0.001, 0.000], [0.673, 0.673, 0.000], [0.326, 0.326, 0.000]]}

=====

# 6
{"formula": "MoRh2Au", "functional": "PBE", "state": "relaxed", "e_form_kj_per_mol_atoms": 10.5, "e_above_lowest_polymorph_mev_per_atom": 192, "cell": [[9.369, -0.006, -0.003], [8.954, 2.754, -0.003], [8.954, 1.343, 2.405]], "species": ["Au", "Mo", "Rh", "Rh"], "fractional_positions": [[0.500, 0.500, 0.500], [0.745, 0.745, 0.745], [0.002, 0.002, 0.002], [0.253, 0.253, 0.253]]}